# 1
CsMo3Ru: optimized geometry, PBE.

Cell and atoms, written as CIF:
```
data_CsMo3Ru
_chemical_formula_sum 'Cs1 Mo3 Ru1'
_cell_length_a 4.928
_cell_length_b 4.928
_cell_length_c 4.928
_cell_angle_alpha 90.00
_cell_angle_beta 90.00
_cell_angle_gamma 90.00
_symmetry_space_group_name_H-M 'P m -3 m'
_symmetry_Int_Tables_number 221
_symmetry_space_group_name_Hall '-P 4 2 3'
loop_
_atom_site_label
_atom_site_fract_x
_atom_site_fract_y
_atom_site_fract_z
Cs1 0.000 0.000 0.000
Mo1 0.000 0.500 0.500
Ru1 0.500 0.500 0.500
```

Crystal system ... cubic
ΔE to the lowest computed polymorph ... 0.0 kJ per mole of atoms

# 2
CsMoRu3: optimized geometry, PBE.

Cell and atoms, written as CIF:
```
data_CsMoRu3
_chemical_formula_sum 'Cs1 Mo1 Ru3'
_cell_length_a 4.868
_cell_length_b 4.868
_cell_length_c 4.868
_cell_angle_alpha 90.00
_cell_angle_beta 90.00
_cell_angle_gamma 90.00
_symmetry_space_group_name_H-M 'P m -3 m'
_symmetry_Int_Tables_number 221
_symmetry_space_group_name_Hall '-P 4 2 3'
loop_
_atom_site_label
_atom_site_fract_x
_atom_site_fract_y
_atom_site_fract_z
Cs1 0.000 0.000 0.000
Mo1 0.500 0.500 0.500
Ru1 0.000 0.500 0.500
```

Crystal system ... cubic
ΔE to the lowest computed polymorph ... 0.0 kJ per mole of atoms

# 3
Cs2MoRuSe: optimized geometry, PBE.

Cell and atoms, written as CIF:
```
data_Cs2MoRuSe
_chemical_formula_sum 'Cs2 Mo1 Ru1 Se1'
_cell_length_a 6.669
_cell_length_b 6.669
_cell_length_c 4.580
_cell_angle_alpha 90.00
_cell_angle_beta 90.00
_cell_angle_gamma 90.00
_symmetry_space_group_name_H-M 'P 4/m m m'
_symmetry_Int_Tables_number 123
_symmetry_space_group_name_Hall '-P 4 2'
loop_
_atom_site_label
_atom_site_fract_x
_atom_site_fract_y
_atom_site_fract_z
Cs1 0.000 0.500 0.000
Mo1 0.000 0.000 0.500
Ru1 0.000 0.000 0.000
Se1 0.500 0.500 0.500
```

Crystal system ... tetragonal

# 4
CsSiMoRu2: optimized geometry, PBE.

Cell and atoms, written as CIF:
```
data_CsSiMoRu2
_chemical_formula_sum 'Cs1 Si1 Mo1 Ru2'
_cell_length_a 4.837
_cell_length_b 4.837
_cell_length_c 4.997
_cell_angle_alpha 90.00
_cell_angle_beta 90.00
_cell_angle_gamma 90.00
_symmetry_space_group_name_H-M 'P 4/m m m'
_symmetry_Int_Tables_number 123
_symmetry_space_group_name_Hall '-P 4 2'
loop_
_atom_site_label
_atom_site_fract_x
_atom_site_fract_y
_atom_site_fract_z
Cs1 0.000 0.000 0.000
Si1 0.500 0.500 0.000
Mo1 0.500 0.500 0.500
Ru1 0.000 0.500 0.500
```

Crystal system ... tetragonal

# 5
CsTc2MoRu: optimized geometry, PBE.

Cell and atoms, written as CIF:
```
data_CsTc2MoRu
_chemical_formula_sum 'Cs1 Tc2 Mo1 Ru1'
_cell_length_a 4.851
_cell_length_b 4.851
_cell_length_c 4.849
_cell_angle_alpha 90.00
_cell_angle_beta 90.00
_cell_angle_gamma 90.00
_symmetry_space_group_name_H-M 'P 4/m m m'
_symmetry_Int_Tables_number 123
_symmetry_space_group_name_Hall '-P 4 2'
loop_
_atom_site_label
_atom_site_fract_x
_atom_site_fract_y
_atom_site_fract_z
Cs1 0.000 0.000 0.000
Tc1 0.000 0.500 0.500
Mo1 0.500 0.500 0.000
Ru1 0.500 0.500 0.500
```

Crystal system ... tetragonal

# 6
Cs2YMoRu: optimized geometry, PBE.

Cell and atoms, written as CIF:
```
data_Cs2YMoRu
_chemical_formula_sum 'Cs2 Y1 Mo1 Ru1'
_cell_length_a 7.479
_cell_length_b 7.479
_cell_length_c 4.778
_cell_angle_alpha 90.00
_cell_angle_beta 90.00
_cell_angle_gamma 90.00
_symmetry_space_group_name_H-M 'P 4/m m m'
_symmetry_Int_Tables_number 123
_symmetry_space_group_name_Hall '-P 4 2'
loop_
_atom_site_label
_atom_site_fract_x
_atom_site_fract_y
_atom_site_fract_z
Cs1 0.000 0.500 0.000
Y1 0.000 0.000 0.000
Mo1 0.500 0.500 0.500
Ru1 0.000 0.000 0.500
```

Crystal system ... tetragonal

# 7
Cs3MoS4: optimized geometry, PBE.

Cell and atoms, written as CIF:
```
data_Cs3MoS4
_chemical_formula_sum 'Cs6 Mo2 S8'
_cell_length_a 8.219
_cell_length_b 8.219
_cell_length_c 8.614
_cell_angle_alpha 90.00
_cell_angle_beta 90.00
_cell_angle_gamma 90.00
_symmetry_space_group_name_H-M 'I 4/m m m'
_symmetry_Int_Tables_number 139
_symmetry_space_group_name_Hall '-I 4 2'
loop_
_atom_site_label
_atom_site_fract_x
_atom_site_fract_y
_atom_site_fract_z
Cs1 0.000 0.000 0.000
Cs2 0.000 0.500 0.250
Mo1 0.000 0.000 0.500
S1 0.200 0.200 0.500
```

Crystal system ... tetragonal
ΔE to the lowest computed polymorph ... 27.4 kJ per mole of atoms

# 8
Cs2MoS4: optimized geometry, PBE.

Cell and atoms, written as CIF:
```
data_Cs2MoS4
_chemical_formula_sum 'Cs8 Mo4 S16'
_cell_length_a 10.370
_cell_length_b 7.359
_cell_length_c 13.147
_cell_angle_alpha 90.00
_cell_angle_beta 90.00
_cell_angle_gamma 90.00
_symmetry_space_group_name_H-M 'P n m a'
_symmetry_Int_Tables_number 62
loop_
_symmetry_equiv_pos_as_xyz
'x,y,z'
'-x,-y,-z'
'-x+1/2,-y,z+1/2'
'x+1/2,y,-z+1/2'
'x+1/2,-y+1/2,-z+1/2'
'-x+1/2,y+1/2,z+1/2'
'-x,y+1/2,-z'
'x,-y+1/2,z'
loop_
_atom_site_label
_atom_site_fract_x
_atom_site_fract_y
_atom_site_fract_z
Cs1 0.033 0.250 0.170
Cs2 0.153 0.750 0.399
Mo1 0.245 0.750 0.076
S1 0.035 0.750 0.103
S2 0.169 0.007 0.646
S3 0.212 0.250 0.412
```

Crystal system ... orthorhombic
ΔE to the lowest computed polymorph ... 0.0 kJ per mole of atoms

# 9
Cs2Mo2S: optimized geometry, PBE.

Cell and atoms, written as CIF:
```
data_Cs2Mo2S
_chemical_formula_sum 'Cs4 Mo4 S2'
_cell_length_a 6.493
_cell_length_b 6.493
_cell_length_c 6.504
_cell_angle_alpha 90.00
_cell_angle_beta 90.00
_cell_angle_gamma 90.00
_symmetry_space_group_name_H-M 'P 4/m b m'
_symmetry_Int_Tables_number 127
_symmetry_space_group_name_Hall '-P 4 2ab'
loop_
_atom_site_label
_atom_site_fract_x
_atom_site_fract_y
_atom_site_fract_z
Cs1 0.183 0.317 0.000
Mo1 0.124 0.624 0.500
S1 0.000 0.000 0.500
```

Crystal system ... tetragonal
ΔE to the lowest computed polymorph ... 0.0 kJ per mole of atoms

# 10
Cs3MoS: optimized geometry, PBE.

Cell and atoms, written as CIF:
```
data_Cs3MoS
_chemical_formula_sum 'Cs3 Mo1 S1'
_cell_length_a 6.784
_cell_length_b 6.784
_cell_length_c 6.784
_cell_angle_alpha 90.00
_cell_angle_beta 90.00
_cell_angle_gamma 90.00
_symmetry_space_group_name_H-M 'P m -3 m'
_symmetry_Int_Tables_number 221
_symmetry_space_group_name_Hall '-P 4 2 3'
loop_
_atom_site_label
_atom_site_fract_x
_atom_site_fract_y
_atom_site_fract_z
Cs1 0.000 0.000 0.500
Mo1 0.500 0.500 0.500
S1 0.000 0.000 0.000
```

Crystal system ... cubic
ΔE to the lowest computed polymorph ... 0.0 kJ per mole of atoms

# 11
CsMoS2: optimized geometry, PBE.

Cell and atoms, written as CIF:
```
data_CsMoS2
_chemical_formula_sum 'Cs4 Mo4 S8'
_cell_length_a 7.161
_cell_length_b 7.161
_cell_length_c 7.161
_cell_angle_alpha 90.00
_cell_angle_beta 90.00
_cell_angle_gamma 90.00
_symmetry_space_group_name_H-M 'F m -3 m'
_symmetry_Int_Tables_number 225
_symmetry_space_group_name_Hall '-F 4 2 3'
loop_
_atom_site_label
_atom_site_fract_x
_atom_site_fract_y
_atom_site_fract_z
Cs1 0.000 0.000 0.000
Mo1 0.000 0.000 0.500
S1 0.250 0.250 0.250
```

Crystal system ... cubic

# 12
Cs2Mo15S19: optimized geometry, PBE.

Cell and atoms, written as CIF:
```
data_Cs2Mo15S19
_chemical_formula_sum 'Cs12 Mo90 S114'
_cell_length_a 9.5824
_cell_length_b 9.5824
_cell_length_c 56.9399
_cell_angle_alpha 90.00
_cell_angle_beta 90.00
_cell_angle_gamma 120.00
_symmetry_space_group_name_H-M 'R -3 c'
_symmetry_Int_Tables_number 167
_symmetry_space_group_name_Hall '-R 3 2"c'
loop_
_atom_site_label
_atom_site_fract_x
_atom_site_fract_y
_atom_site_fract_z
Cs1 0.0000 0.0000 0.1135
Mo1 0.0000 0.1634 0.2500
Mo2 0.0065 0.1662 0.7095
Mo3 0.0160 0.1707 0.9796
S1 0.0000 0.0000 0.0530
S2 0.0000 0.0000 0.1770
S3 0.0000 0.2975 0.7500
S4 0.0136 0.2997 0.2861
S5 0.0233 0.3856 0.6832
```

Crystal system ... trigonal

# 13
CsMo3S: optimized geometry, PBE.

Cell and atoms, written as CIF:
```
data_CsMo3S
_chemical_formula_sum 'Cs1 Mo3 S1'
_cell_length_a 4.938
_cell_length_b 4.938
_cell_length_c 4.938
_cell_angle_alpha 90.00
_cell_angle_beta 90.00
_cell_angle_gamma 90.00
_symmetry_space_group_name_H-M 'P m -3 m'
_symmetry_Int_Tables_number 221
_symmetry_space_group_name_Hall '-P 4 2 3'
loop_
_atom_site_label
_atom_site_fract_x
_atom_site_fract_y
_atom_site_fract_z
Cs1 0.000 0.000 0.000
Mo1 0.000 0.000 0.500
S1 0.500 0.500 0.500
```

Crystal system ... cubic
ΔE to the lowest computed polymorph ... 199.4 kJ per mole of atoms

# 14
CsMo6S8: optimized geometry, PBE.

Cell and atoms, written as CIF:
```
data_CsMo6S8
_chemical_formula_sum 'Cs3 Mo18 S24'
_cell_length_a 9.5350
_cell_length_b 9.5350
_cell_length_c 12.1173
_cell_angle_alpha 90.00
_cell_angle_beta 90.00
_cell_angle_gamma 120.00
_symmetry_space_group_name_H-M 'R -3'
_symmetry_Int_Tables_number 148
_symmetry_space_group_name_Hall '-R 3'
loop_
_atom_site_label
_atom_site_fract_x
_atom_site_fract_y
_atom_site_fract_z
Cs1 0.0000 0.0000 0.0000
Mo1 0.0041 0.1644 0.4078
S1 0.0000 0.0000 0.2578
S2 0.0094 0.3047 0.5830
```

Crystal system ... trigonal

# 15
CsMoS2: optimized geometry, PBE.

Cell and atoms, written as CIF:
```
data_CsMoS2
_chemical_formula_sum 'Cs3 Mo3 S6'
_cell_length_a 3.5635
_cell_length_b 3.5635
_cell_length_c 27.8496
_cell_angle_alpha 90.00
_cell_angle_beta 90.00
_cell_angle_gamma 120.00
_symmetry_space_group_name_H-M 'R -3 m'
_symmetry_Int_Tables_number 166
_symmetry_space_group_name_Hall '-R 3 2"'
loop_
_atom_site_label
_atom_site_fract_x
_atom_site_fract_y
_atom_site_fract_z
Cs1 0.0000 0.0000 0.0000
Mo1 0.0000 0.0000 0.5000
S1 0.0000 0.0000 0.1163
```

Crystal system ... trigonal

# 16
CsMoS2: optimized geometry, PBE.

Cell and atoms, written as CIF:
```
data_CsMoS2
_chemical_formula_sum 'Cs3 Mo3 S6'
_cell_length_a 5.5204
_cell_length_b 5.5204
_cell_length_c 23.6491
_cell_angle_alpha 90.00
_cell_angle_beta 90.00
_cell_angle_gamma 120.00
_symmetry_space_group_name_H-M 'R -3 m'
_symmetry_Int_Tables_number 166
_symmetry_space_group_name_Hall '-R 3 2"'
loop_
_atom_site_label
_atom_site_fract_x
_atom_site_fract_y
_atom_site_fract_z
Cs1 0.0000 0.0000 0.0000
Mo1 0.0000 0.0000 0.5000
S1 0.0000 0.0000 0.4059
```

Crystal system ... trigonal

# 17
CsMo9S9: optimized geometry, PBE.

Cell and atoms, written as CIF:
```
data_CsMo9S9
_chemical_formula_sum 'Cs2 Mo18 S18'
_cell_length_a 9.6294
_cell_length_b 9.6294
_cell_length_c 13.0986
_cell_angle_alpha 90.00
_cell_angle_beta 90.00
_cell_angle_gamma 120.00
_symmetry_space_group_name_H-M 'P 63/m'
_symmetry_Int_Tables_number 176
_symmetry_space_group_name_Hall '-P 6c'
loop_
_atom_site_label
_atom_site_fract_x
_atom_site_fract_y
_atom_site_fract_z
Cs1 0.3333 0.6667 0.2500
Mo1 0.0248 0.8498 0.2500
Mo2 0.0256 0.8494 0.5832
S1 0.0451 0.7259 0.7500
S2 0.0470 0.7271 0.0837
```

Crystal system ... hexagonal

# 18
Cs2Mo2S: optimized geometry, PBE.

Cell and atoms, written as CIF:
```
data_Cs2Mo2S
_chemical_formula_sum 'Cs4 Mo4 S2'
_cell_length_a 7.315
_cell_length_b 7.315
_cell_length_c 7.178
_cell_angle_alpha 90.00
_cell_angle_beta 90.00
_cell_angle_gamma 90.00
_symmetry_space_group_name_H-M 'I 4/m m m'
_symmetry_Int_Tables_number 139
_symmetry_space_group_name_Hall '-I 4 2'
loop_
_atom_site_label
_atom_site_fract_x
_atom_site_fract_y
_atom_site_fract_z
Cs1 0.000 0.500 0.250
Mo1 0.000 0.000 0.143
S1 0.000 0.000 0.500
```

Crystal system ... tetragonal
ΔE to the lowest computed polymorph ... 14.1 kJ per mole of atoms

# 19
Cs3MoS4: optimized geometry, PBE.

Cell and atoms, written as CIF:
```
data_Cs3MoS4
_chemical_formula_sum 'Cs6 Mo2 S8'
_cell_length_a 13.458
_cell_length_b 6.923
_cell_length_c 6.703
_cell_angle_alpha 90.00
_cell_angle_beta 90.00
_cell_angle_gamma 90.00
_symmetry_space_group_name_H-M 'P m n 21'
_symmetry_Int_Tables_number 31
loop_
_symmetry_equiv_pos_as_xyz
'x,y,z'
'-x+1/2,-y,z+1/2'
'-x,y,z'
'x+1/2,-y,z+1/2'
loop_
_atom_site_label
_atom_site_fract_x
_atom_site_fract_y
_atom_site_fract_z
Cs1 0.000 0.162 0.000
Cs2 0.249 0.730 0.028
Mo1 0.000 0.646 0.425
S1 0.000 0.330 0.500
S2 0.000 0.658 0.091
S3 0.145 0.778 0.531
```

Crystal system ... orthorhombic
ΔE to the lowest computed polymorph ... 0.0 kJ per mole of atoms

# 20
Cs2MoS4: optimized geometry, PBE.

Cell and atoms, written as CIF:
```
data_Cs2MoS4
_chemical_formula_sum 'Cs4 Mo2 S8'
_cell_length_a 4.879
_cell_length_b 4.879
_cell_length_c 17.400
_cell_angle_alpha 90.00
_cell_angle_beta 90.00
_cell_angle_gamma 90.00
_symmetry_space_group_name_H-M 'I 4/m m m'
_symmetry_Int_Tables_number 139
_symmetry_space_group_name_Hall '-I 4 2'
loop_
_atom_site_label
_atom_site_fract_x
_atom_site_fract_y
_atom_site_fract_z
Cs1 0.000 0.000 0.149
Mo1 0.000 0.000 0.500
S1 0.000 0.000 0.364
S2 0.000 0.500 0.000
```

Crystal system ... tetragonal
ΔE to the lowest computed polymorph ... 34.7 kJ per mole of atoms

What are the energy values for these records? In order: -0.245 -0.231 -0.149 -0.215 -0.238 -0.142 -0.163 -0.190 -0.173 -0.113 -0.164 -0.276 -0.149 -0.269 -0.195 -0.180 -0.287 -0.168 -0.173 -0.176 Ha/atom.